[1]
Compound: Ti2Co2Pd
Source: Alexandria via LeMat-Bulk
Functional: PBE
Structure: relaxed

a b c (Å): 4.9285 4.9285 4.9285
angles (deg): 127.11 127.11 78.07
Element x y z (fractional)
Ti: 0.2500 0.7500 0.5000
Ti: 0.7500 0.2500 0.5000
Co: 0.1401 0.1401 0.0000
Co: 0.8599 0.8599 0.0000
Pd: 0.5000 0.5000 0.0000

Computed properties:
Polymorph energy (0 for the lowest one) in meV per atom: 307
SG: I4/mmm (139)
Energy of formation from the pure elements in eV/atom: -0.10
E_tot in eV per atom: -7.140
Calculated volume in Å³ per cell: 73.8
Magnetic moment in μB/f.u.: 0.00


[2]
Compound: Ti8Co2Pd
Source: Alexandria via LeMat-Bulk
Functional: PBE
Structure: relaxed

a b c (Å): 6.7947 6.7947 4.6878
angles (deg): 100.27 100.27 118.65
Element x y z (fractional)
Ti: 0.0954 0.3342 0.5734
Ti: 0.2335 0.7665 0.0000
Ti: 0.3342 0.0954 0.5734
Ti: 0.3942 0.3942 0.1825
Ti: 0.6058 0.6058 0.8175
Ti: 0.6658 0.9046 0.4266
Ti: 0.7665 0.2335 0.0000
Ti: 0.9046 0.6658 0.4266
Co: 0.2934 0.7066 0.5000
Co: 0.7066 0.2934 0.5000
Pd: 0.0000 0.0000 0.0000

Computed properties:
SG: C2/m (12)
Energy of formation from the pure elements in eV/atom: -0.13
E_tot in eV per atom: -7.633
Calculated volume in Å³ per cell: 177.9
Magnetic moment in μB/f.u.: 0.00


[3]
Compound: Ti2CoPd2
Source: Alexandria via LeMat-Bulk
Functional: PBE
Structure: relaxed

a b c (Å): 7.1051 7.1051 3.0704
angles (deg): 90.00 90.00 90.00
Element x y z (fractional)
Ti: 0.1733 0.3267 0.0000
Ti: 0.3267 0.8267 0.0000
Ti: 0.6733 0.1733 0.0000
Ti: 0.8267 0.6733 0.0000
Co: 0.0000 0.0000 0.5000
Co: 0.5000 0.5000 0.5000
Pd: 0.1325 0.6325 0.5000
Pd: 0.3675 0.1325 0.5000
Pd: 0.6325 0.8675 0.5000
Pd: 0.8675 0.3675 0.5000

Computed properties:
Polymorph energy (0 for the lowest one) in meV per atom: 208
SG: P4/mbm (127)
Energy of formation from the pure elements in eV/atom: -0.18
E_tot in eV per atom: -6.841
Calculated volume in Å³ per cell: 155.0
Magnetic moment in μB/f.u.: 0.00


[4]
Compound: Ti2CoPd
Source: Alexandria via LeMat-Bulk
Functional: PBE
Structure: relaxed

a b c (Å): 3.9938 3.9938 3.6136
angles (deg): 90.00 90.00 90.00
Element x y z (fractional)
Ti: 0.0000 0.5000 0.0000
Ti: 0.5000 0.0000 0.0000
Co: 0.0000 0.0000 0.5000
Pd: 0.5000 0.5000 0.5000

Computed properties:
SG: P4/mmm (123)
Energy of formation from the pure elements in eV/atom: -0.36
E_tot in eV per atom: -7.385
Calculated volume in Å³ per cell: 57.6
Magnetic moment in μB/f.u.: 0.12


[5]
Compound: Ti5CoPd4
Source: Alexandria via LeMat-Bulk
Functional: PBE
Structure: relaxed

a b c (Å): 3.2903 3.2903 14.1749
angles (deg): 90.00 90.00 90.00
Element x y z (fractional)
Ti: 0.0000 0.0000 0.0000
Ti: 0.0000 0.0000 0.2038
Ti: 0.0000 0.0000 0.4089
Ti: 0.0000 0.0000 0.5911
Ti: 0.0000 0.0000 0.7962
Co: 0.5000 0.5000 0.5000
Pd: 0.5000 0.5000 0.1019
Pd: 0.5000 0.5000 0.3043
Pd: 0.5000 0.5000 0.6957
Pd: 0.5000 0.5000 0.8981

Computed properties:
Polymorph energy (0 for the lowest one) in meV per atom: 0
SG: P4/mmm (123)
Energy of formation from the pure elements in eV/atom: -0.44
E_tot in eV per atom: -7.171
Calculated volume in Å³ per cell: 153.5
Magnetic moment in μB/f.u.: 0.02


[6]
Compound: Ti2CoPd2
Source: Alexandria via LeMat-Bulk
Functional: PBE
Structure: relaxed

a b c (Å): 5.1117 5.1117 5.1117
angles (deg): 124.87 124.87 81.76
Element x y z (fractional)
Ti: 0.2500 0.7500 0.5000
Ti: 0.7500 0.2500 0.5000
Co: 0.0000 0.0000 0.0000
Pd: 0.3452 0.3452 0.0000
Pd: 0.6548 0.6548 0.0000

Computed properties:
Polymorph energy (0 for the lowest one) in meV per atom: 595
SG: I4/mmm (139)
Energy of formation from the pure elements in eV/atom: 0.20
E_tot in eV per atom: -6.453
Calculated volume in Å³ per cell: 86.5
Magnetic moment in μB/f.u.: 0.03


[7]
Compound: TiCoPd2
Source: Alexandria via LeMat-Bulk
Functional: PBE
Structure: relaxed

a b c (Å): 9.2219 9.2219 9.2219
angles (deg): 156.68 156.68 33.22
Element x y z (fractional)
Ti: 0.0000 0.0000 0.0000
Ti: 0.7500 0.2500 0.5000
Co: 0.2500 0.7500 0.5000
Co: 0.5000 0.5000 0.0000
Pd: 0.1313 0.6250 0.0063
Pd: 0.3750 0.3813 0.5063
Pd: 0.6187 0.1250 0.9937
Pd: 0.8750 0.8687 0.4937

Computed properties:
SG: I-42d (122)
Energy of formation from the pure elements in eV/atom: 0.00
E_tot in eV per atom: -6.347
Calculated volume in Å³ per cell: 122.8
Magnetic moment in μB/f.u.: 0.56


[8]
Compound: Ti2CoPd
Source: Alexandria via LeMat-Bulk
Functional: PBE
Structure: relaxed

a b c (Å): 5.4769 5.4769 5.4769
angles (deg): 103.85 103.85 121.41
Element x y z (fractional)
Ti: 0.0999 0.6250 0.9749
Ti: 0.3750 0.3499 0.4749
Ti: 0.6501 0.1250 0.0251
Ti: 0.8750 0.9001 0.5251
Co: 0.0000 0.0000 0.0000
Co: 0.7500 0.2500 0.5000
Pd: 0.2500 0.7500 0.5000
Pd: 0.5000 0.5000 0.0000

Computed properties:
SG: I-42d (122)
Energy of formation from the pure elements in eV/atom: -0.06
E_tot in eV per atom: -7.083
Calculated volume in Å³ per cell: 122.3
Magnetic moment in μB/f.u.: 0.01


> Among the records above, which one has the highest energy of formation from the pure elements?

number 6


> The highest calculated volume belongs to which entry?

Ti8Co2Pd


> Among the records above, which one has the highest E_tot?

TiCoPd2